*w*
{"formula": "GeSN2", "functional": "PBE-GGA", "state": "optimized geometry", "lattice": [[0.0000, 2.7827, 2.7827], [2.7827, 0.0000, 2.7827], [2.7827, 2.7827, 0.0000]], "species": ["Ge", "S", "N", "N"], "fractional_positions": [[0.0000, 0.0000, 0.0000], [0.5000, 0.5000, 0.5000], [0.2500, 0.2500, 0.2500], [0.7500, 0.7500, 0.7500]], "m_tot_mub_per_atom": 0.00, "space_group": "No. 225", "n_ef_per_ev_atom": 0.701}



*x*
{"formula": "GeSN2", "functional": "PBE-GGA", "state": "optimized geometry", "lattice": [[-2.5904, 2.5904, 3.8201], [2.5904, -2.5904, 3.8201], [2.5904, 2.5904, -3.8201]], "species": ["Ge", "Ge", "S", "S", "N", "N", "N", "N"], "fractional_positions": [[0.0000, 0.0000, 0.0000], [0.7500, 0.2500, 0.5000], [0.2500, 0.7500, 0.5000], [0.5000, 0.5000, 0.0000], [0.0657, 0.6250, 0.9407], [0.3750, 0.3157, 0.4407], [0.6843, 0.1250, 0.0593], [0.8750, 0.9343, 0.5593]], "m_tot_mub_per_atom": 0.00, "space_group": "No. 122", "n_ef_per_ev_atom": 0.145}



*y*
{"formula": "GeSN2", "functional": "PBE-GGA", "state": "optimized geometry", "lattice": [[1.5031, 0.8678, 5.8174], [-1.5031, 0.8678, 5.8174], [0.0000, -1.7357, 5.8174]], "species": ["Ge", "S", "N", "N"], "fractional_positions": [[0.0000, 0.0000, 0.0000], [0.5000, 0.5000, 0.5000], [0.3941, 0.3941, 0.3941], [0.6059, 0.6059, 0.6059]], "m_tot_mub_per_atom": 0.00, "space_group": "No. 166", "n_ef_per_ev_atom": 0.490}



*z*
{"formula": "GeSN2", "functional": "PBE-GGA", "state": "optimized geometry", "lattice": [[4.8486, -1.6023, 0.0000], [4.8486, 1.6023, 0.0000], [-4.6171, 0.0000, 4.9477]], "species": ["Ge", "S", "N", "N"], "fractional_positions": [[0.0000, 0.0000, 0.0000], [0.1264, 0.1264, 0.5806], [0.1497, 0.1497, 0.3784], [0.3201, 0.3201, 0.8872]], "m_tot_mub_per_atom": 0.00, "space_group": "No. 8", "n_ef_per_ev_atom": 0.229}



Computed energies relative to the best structure, in kJ/mol of atoms: *w* 133.1; *x* 46.9; *y* 6.6; *z* 0.0



*w*
{"formula": "GeS2N", "functional": "PBE-GGA", "state": "optimized geometry", "lattice": [[-2.6195, 2.6195, 5.4756], [2.6195, -2.6195, 5.4756], [2.6195, 2.6195, -5.4756]], "species": ["Ge", "Ge", "S", "S", "S", "S", "N", "N"], "fractional_positions": [[0.0000, 0.0000, 0.0000], [0.7500, 0.2500, 0.5000], [0.2404, 0.6250, 0.1154], [0.3750, 0.4904, 0.6154], [0.5096, 0.1250, 0.8846], [0.8750, 0.7596, 0.3846], [0.2500, 0.7500, 0.5000], [0.5000, 0.5000, 0.0000]], "m_tot_mub_per_atom": 0.00, "space_group": "No. 122", "n_ef_per_ev_atom": 0.531}



*x*
{"formula": "GeS2N", "functional": "PBE-GGA", "state": "optimized geometry", "lattice": [[0.0000, 3.0328, 3.0328], [3.0328, 0.0000, 3.0328], [3.0328, 3.0328, 0.0000]], "species": ["Ge", "S", "S", "N"], "fractional_positions": [[0.0000, 0.0000, 0.0000], [0.2500, 0.2500, 0.2500], [0.7500, 0.7500, 0.7500], [0.5000, 0.5000, 0.5000]], "m_tot_mub_per_atom": 0.00, "space_group": "No. 225", "n_ef_per_ev_atom": 0.759}



*y*
{"formula": "GeS2N", "functional": "PBE-GGA", "state": "optimized geometry", "lattice": [[2.0629, 1.1910, 5.8460], [-2.0629, 1.1910, 5.8460], [0.0000, -2.3820, 5.8460]], "species": ["Ge", "S", "S", "N"], "fractional_positions": [[0.0000, 0.0000, 0.0000], [0.4111, 0.4111, 0.4111], [0.5889, 0.5889, 0.5889], [0.5000, 0.5000, 0.5000]], "m_tot_mub_per_atom": 0.00, "space_group": "No. 166", "n_ef_per_ev_atom": 0.401}



*z*
{"formula": "GeS2N", "functional": "PBE-GGA", "state": "optimized geometry", "lattice": [[1.5250, 0.8804, 7.8813], [-1.5250, 0.8804, 7.8813], [0.0000, -1.7609, 7.8813]], "species": ["Ge", "S", "S", "N"], "fractional_positions": [[0.0000, 0.0000, 0.0000], [0.1100, 0.1100, 0.1100], [0.8900, 0.8900, 0.8900], [0.5000, 0.5000, 0.5000]], "m_tot_mub_per_atom": 0.00, "space_group": "No. 166", "n_ef_per_ev_atom": 0.364}



Computed energies relative to the best structure, in kJ/mol of atoms: *w* 41.4; *x* 89.8; *y* 0.0; *z* 64.2